Below is crystalline TiMn2Tl2Te6 at its relaxed geometry, with properties calculated at the PBE-GGA level.

Structure (extended XYZ):
```
11
Lattice="3.4758 -5.9587 0.0000 3.4758 5.9587 0.0000 -2.2513 0.0000 8.2042" Properties=species:S:1:pos:R:3 pbc="T T T"
Ti 0.0000 0.0000 0.0000
Mn 3.4758 2.0351 0.0000
Mn 3.4758 -2.0351 0.0000
Tl 2.3502 4.0229 4.1021
Tl 2.3502 -4.0229 4.1021
Te 1.1732 1.9805 1.5850
Te 0.0984 0.0000 6.6590
Te 1.1732 -1.9805 1.5850
Te 3.5271 1.9805 6.6192
Te 4.6019 0.0000 1.5452
Te 3.5271 -1.9805 6.6192
```

Computed properties:
The density of states at the Fermi level is 5.5 states/eV/f.u. The value obtained for the calculated density is 6.5 g cm⁻³. The space group is No. 12. Its energy relative to the elements, uncorrected is -332 meV/atom.